A relaxed Cs4SbBr6 crystal, computed with PBE.

Geometry as CIF:
```
data_Cs4SbBr6
_space_group_name_H-M_alt 'P 4/m n c'
_space_group_IT_number 128
_space_group_name_Hall '-P 4 2n'
_cell_length_a 9.887
_cell_length_b 9.887
_cell_length_c 10.026
_cell_angle_alpha 90.00
_cell_angle_beta 90.00
_cell_angle_gamma 90.00
loop_
_atom_site_label
_atom_site_type_symbol
_atom_site_fract_x
_atom_site_fract_y
_atom_site_fract_z
Cs1 Cs 0.162 0.338 0.250
Sb1 Sb 0.000 0.000 0.000
Br1 Br 0.000 0.000 0.281
Br2 Br 0.109 0.690 0.000
```

Results
Its total DFT energy (no corrections) is -2.940 eV/atom. The formation energy (no corrections) is -1.343 eV/atom.

***

A relaxed Mn3Tc crystal, computed with PBE.

Geometry as CIF:
```
data_Mn3Tc
_space_group_name_H-M_alt 'P m m a'
_space_group_IT_number 51
_cell_length_a 4.436
_cell_length_b 4.042
_cell_length_c 5.411
_cell_angle_alpha 90.00
_cell_angle_beta 90.00
_cell_angle_gamma 90.00
loop_
_space_group_symop_operation_xyz
'x,y,z'
'-x,-y,-z'
'-x+1/2,-y,z'
'x+1/2,y,-z'
'x+1/2,-y,-z'
'-x+1/2,y,z'
'-x,y,-z'
'x,-y,z'
loop_
_atom_site_label
_atom_site_type_symbol
_atom_site_fract_x
_atom_site_fract_y
_atom_site_fract_z
Mn1 Mn 0.000 0.000 0.000
Mn2 Mn 0.250 0.000 0.410
Mn3 Mn 0.250 0.500 0.135
Tc1 Tc 0.250 0.500 0.664
```

Results
Its total DFT energy (no corrections) is -9.281 eV/atom. For the energy of formation from the pure elements, the calculation gives 0.19 eV/atom.

***

A relaxed Nb6VN crystal, computed with PBE.

Geometry as CIF:
```
data_Nb6VN
_space_group_name_H-M_alt 'P -1'
_space_group_IT_number 2
_cell_length_a 5.640
_cell_length_b 5.640
_cell_length_c 5.914
_cell_angle_alpha 90.01
_cell_angle_beta 118.38
_cell_angle_gamma 119.96
loop_
_space_group_symop_operation_xyz
'x,y,z'
'-x,-y,-z'
loop_
_atom_site_label
_atom_site_type_symbol
_atom_site_fract_x
_atom_site_fract_y
_atom_site_fract_z
Nb1 Nb 0.062 0.070 0.259
Nb2 Nb 0.267 0.698 0.259
Nb3 Nb 0.309 0.507 0.741
V1 V 0.500 0.000 0.000
N1 N 0.500 0.500 0.500
```

Results
Its total DFT energy (no corrections) is -9.673 eV/atom. The formation energy (no corrections) is 0.060 eV/atom.

***

A relaxed SrMgHg2 crystal, computed with PBE.

Geometry as CIF:
```
data_SrMgHg2
_space_group_name_H-M_alt 'F -4 3 m'
_space_group_IT_number 216
_space_group_name_Hall 'F -4 2 3'
_cell_length_a 7.517
_cell_length_b 7.517
_cell_length_c 7.517
_cell_angle_alpha 90.00
_cell_angle_beta 90.00
_cell_angle_gamma 90.00
loop_
_atom_site_label
_atom_site_type_symbol
_atom_site_fract_x
_atom_site_fract_y
_atom_site_fract_z
Sr1 Sr 0.000 0.000 0.000
Mg1 Mg 0.250 0.250 0.250
Hg1 Hg 0.000 0.000 0.500
Hg2 Hg 0.250 0.250 0.750
```

Results
Its total DFT energy (no corrections) is -1.203 eV/atom. For the energy of formation from the pure elements, the calculation gives -0.23 eV/atom.

***

Number 1: density of states at the Fermi level 12.79 states/eV/cell. Number 2: density of states at the Fermi level 10.29 states/eV/cell. Number 3: density of states at the Fermi level 8.09 states/eV/cell. Number 4: density of states at the Fermi level 9.90 states/eV/cell.